# 1
First-principles (PBE-GGA) data for crystalline K2FeMo at its relaxed geometry, as listed in Alexandria.

Properties
Offset from the most stable computed form   626 meV/atom
Energy of formation from the pure elements   1479 meV/atom
N(E_F)   1.216 states/eV/atom
Calculated volume   22.0 Å³/atom

Cell: 6.6949 6.6949 2.7626 Å, 99.68 99.68 129.49°
Closest atoms and distances in Å follow each position.
Atoms (fractional coordinates):
K: 0.0000 0.5000 0.0000  4 K 2.76-2.86
K: 0.5000 0.0000 0.0000  4 K 2.76-2.86
Fe: 0.0000 0.0000 0.5000  2 Fe 2.76, 2 Mo 2.86
Mo: 0.5000 0.5000 0.5000  2 Mo 2.76, 2 Fe 2.86

---

# 2
First-principles (PBE-GGA) data for crystalline TaTi3Al at its relaxed geometry, as listed in Alexandria.

Properties
Offset from the most stable computed form   1079 meV/atom
Energy of formation from the pure elements   991 meV/atom
N(E_F)   1.629 states/eV/atom
Calculated volume   19.9 Å³/atom

Cell: 4.6342 4.6342 4.6342 Å, 90.00 90.00 90.00°
Closest atoms and distances in Å follow each position.
Atoms (fractional coordinates):
Ta: 0.0000 0.0000 0.0000  12 Ti 3.28
Ti: 0.0000 0.5000 0.5000  2 Al 2.32
Ti: 0.5000 0.0000 0.5000  2 Al 2.32
Ti: 0.5000 0.5000 0.0000  2 Al 2.32
Al: 0.5000 0.5000 0.5000  6 Ti 2.32

---

# 3
First-principles (PBE-GGA) data for crystalline La2RePt at its relaxed geometry, as listed in Alexandria.

Properties
Offset from the most stable computed form   36 meV/atom
Energy of formation from the pure elements   -212 meV/atom
N(E_F)   1.391 states/eV/atom
Calculated volume   30.1 Å³/atom

Cell: 7.6148 7.6148 7.6148 Å, 33.61 33.61 33.61°
Closest atoms and distances in Å follow each position.
Atoms (fractional coordinates):
La: 0.0000 0.0000 0.0000  3 Re 3.17, 3 Pt 3.19
La: 0.1773 0.1773 0.1773  3 Pt 3.17, 3 Re 3.18
Re: 0.4217 0.4217 0.4217  3 Pt 2.54
Pt: 0.7560 0.7560 0.7560  3 Re 2.54

---

# 4
First-principles (PBE-GGA) data for crystalline ScRe3Pb at its relaxed geometry, as listed in Alexandria.

Properties
Offset from the most stable computed form   336 meV/atom
Energy of formation from the pure elements   2666 meV/atom
N(E_F)   1.316 states/eV/atom
Calculated volume   24.1 Å³/atom

Cell: 4.9404 4.9404 4.9404 Å, 90.00 90.00 90.00°
Closest atoms and distances in Å follow each position.
Atoms (fractional coordinates):
Sc: 0.0000 0.0000 0.0000  12 Re 3.49
Re: 0.0000 0.5000 0.5000  2 Pb 2.47
Re: 0.5000 0.0000 0.5000  2 Pb 2.47
Re: 0.5000 0.5000 0.0000  2 Pb 2.47
Pb: 0.5000 0.5000 0.5000  6 Re 2.47

---

# 5
First-principles (PBE-GGA) data for crystalline UIrPdO6 at its relaxed geometry, as listed in Alexandria.

Properties
Uncorrected formation energy   -1.567 eV per atom
N(E_F)   0.394 states/eV/atom
Calculated volume   12.3 Å³/atom

Cell: 5.2644 5.2644 9.2402 Å, 90.00 90.00 120.00°
Closest atoms and distances in Å follow each position.
Atoms (fractional coordinates):
U: 0.3333 0.6667 0.2500  6 O 2.11
U: 0.6667 0.3333 0.7500  6 O 2.11
Ir: 0.0000 0.0000 0.0000  6 O 2.01
Ir: 0.0000 0.0000 0.5000  6 O 2.01
Pd: 0.3333 0.6667 0.7500  6 O 2.21
Pd: 0.6667 0.3333 0.2500  6 O 2.21
O: 0.0161 0.3246 0.1210  1 Ir 2.01, 1 U 2.11, 1 Pd 2.21
O: 0.0161 0.6914 0.3790  1 Ir 2.01, 1 U 2.11, 1 Pd 2.21
O: 0.3086 0.3246 0.3790  1 Ir 2.01, 1 U 2.11, 1 Pd 2.21
O: 0.3086 0.9839 0.1210  1 Ir 2.01, 1 U 2.11, 1 Pd 2.21
O: 0.3246 0.0161 0.6210  1 Ir 2.01, 1 U 2.11, 1 Pd 2.21
O: 0.3246 0.3086 0.8790  1 Ir 2.01, 1 U 2.11, 1 Pd 2.21
O: 0.6754 0.6914 0.1210  1 Ir 2.01, 1 U 2.11, 1 Pd 2.21
O: 0.6754 0.9839 0.3790  1 Ir 2.01, 1 U 2.11, 1 Pd 2.21
O: 0.6914 0.0161 0.8790  1 Ir 2.01, 1 U 2.11, 1 Pd 2.21
O: 0.6914 0.6754 0.6210  1 Ir 2.01, 1 U 2.11, 1 Pd 2.21
O: 0.9839 0.3086 0.6210  1 Ir 2.01, 1 U 2.11, 1 Pd 2.21
O: 0.9839 0.6754 0.8790  1 Ir 2.01, 1 U 2.11, 1 Pd 2.21

---

# 6
First-principles (PBE-GGA) data for crystalline CsNbV3 at its relaxed geometry, as listed in Alexandria.

Properties
Offset from the most stable computed form   865 meV/atom
Energy of formation from the pure elements   2653 meV/atom
N(E_F)   1.511 states/eV/atom
Calculated volume   20.9 Å³/atom

Cell: 4.7076 4.7076 4.7076 Å, 90.00 90.00 90.00°
Closest atoms and distances in Å follow each position.
Atoms (fractional coordinates):
Cs: 0.0000 0.0000 0.0000  6 V 2.35
Nb: 0.5000 0.5000 0.5000  12 V 3.33
V: 0.0000 0.0000 0.5000  2 Cs 2.35
V: 0.0000 0.5000 0.0000  2 Cs 2.35
V: 0.5000 0.0000 0.0000  2 Cs 2.35

---

# 7
First-principles (PBE-GGA) data for crystalline LiMgTa at its relaxed geometry, as listed in Alexandria.

Properties
Offset from the most stable computed form   605 meV/atom
Energy of formation from the pure elements   686 meV/atom
N(E_F)   1.096 states/eV/atom
Calculated volume   19.2 Å³/atom

Cell: 5.0393 5.0393 2.6221 Å, 90.00 90.00 120.00°
Closest atoms and distances in Å follow each position.
Atoms (fractional coordinates):
Li: 0.0000 0.0000 0.0000  2 Li 2.62
Mg: 0.3333 0.6667 0.5000  2 Mg 2.62, 3 Ta 2.91
Ta: 0.6667 0.3333 0.5000  2 Ta 2.62, 3 Mg 2.91

---

# 8
First-principles (PBE-GGA) data for crystalline Hf2TiMo at its relaxed geometry, as listed in Alexandria.

Properties
Offset from the most stable computed form   541 meV/atom
Energy of formation from the pure elements   564 meV/atom
N(E_F)   1.230 states/eV/atom
Calculated volume   19.8 Å³/atom

Cell: 5.9800 5.9800 5.9800 Å, 103.50 103.50 122.22°
Closest atoms and distances in Å follow each position.
Atoms (fractional coordinates):
Hf: 0.1142 0.1250 0.4892  2 Mo 2.66, 2 Ti 2.77, 2 Hf 2.89
Hf: 0.3750 0.8858 0.0108  2 Mo 2.66, 2 Ti 2.77, 2 Hf 2.89
Hf: 0.6358 0.6250 0.5108  2 Mo 2.66, 2 Ti 2.77, 2 Hf 2.89
Hf: 0.8750 0.3642 0.9892  2 Mo 2.66, 2 Ti 2.77, 2 Hf 2.89
Ti: 0.2500 0.7500 0.5000  4 Hf 2.77, 2 Mo 2.89
Ti: 0.5000 0.5000 0.0000  4 Hf 2.77, 2 Mo 2.89
Mo: 0.0000 0.0000 0.0000  4 Hf 2.66, 2 Ti 2.89
Mo: 0.7500 0.2500 0.5000  4 Hf 2.66, 2 Ti 2.89

---

# 9
First-principles (PBE-GGA) data for crystalline PmPrDy14 at its relaxed geometry, as listed in Alexandria.

Properties
Energy of formation from the pure elements   6 meV/atom
N(E_F)   1.140 states/eV/atom
Calculated volume   31.8 Å³/atom

Cell: 11.5084 7.1443 7.1443 Å, 60.09 90.00 90.00°
Closest atoms and distances in Å follow each position.
Atoms (fractional coordinates):
Pm: 0.0000 0.0000 0.0000  10 Dy 3.56-3.57, 2 Pr 3.58
Pr: 0.0000 0.4999 0.4999  10 Dy 3.56-3.57, 2 Pm 3.58
Dy: 0.0000 0.0001 0.5001  8 Dy 3.55-3.58, 2 Pr 3.57, 2 Pm 3.57
Dy: 0.0000 0.5001 0.0001  8 Dy 3.55-3.58, 2 Pr 3.57, 2 Pm 3.57
Dy: 0.2513 0.1672 0.1672  11 Dy 3.52-3.58, 1 Pm 3.56
Dy: 0.2520 0.6672 0.6672  11 Dy 3.52-3.58, 1 Pr 3.56
Dy: 0.2533 0.1665 0.6669  10 Dy 3.51-3.58, 1 Pm 3.57, 1 Pr 3.57
Dy: 0.2533 0.6669 0.1665  10 Dy 3.51-3.58, 1 Pm 3.57, 1 Pr 3.57
Dy: 0.5000 0.3336 0.3336  12 Dy 3.51-3.58
Dy: 0.5000 0.3338 0.8341  12 Dy 3.51-3.58
Dy: 0.5000 0.8341 0.3338  12 Dy 3.51-3.58
Dy: 0.5000 0.8336 0.8336  12 Dy 3.51-3.58
Dy: 0.7467 0.1665 0.6669  10 Dy 3.51-3.58, 1 Pm 3.57, 1 Pr 3.57
Dy: 0.7467 0.6669 0.1665  10 Dy 3.51-3.58, 1 Pm 3.57, 1 Pr 3.57
Dy: 0.7480 0.6672 0.6672  11 Dy 3.52-3.58, 1 Pr 3.56
Dy: 0.7487 0.1672 0.1672  11 Dy 3.52-3.58, 1 Pm 3.56

---

# 10
First-principles (PBE-GGA) data for crystalline Er3ThN4 at its relaxed geometry, as listed in Alexandria.

Properties
Uncorrected formation energy   -1.701 eV per atom
N(E_F)   0.216 states/eV/atom
Calculated volume   15.2 Å³/atom

Cell: 4.9499 4.9499 4.9499 Å, 90.00 90.00 90.00°
Closest atoms and distances in Å follow each position.
Atoms (fractional coordinates):
Er: 0.0000 0.0000 0.5000  6 N 2.47
Er: 0.0000 0.5000 0.0000  6 N 2.47
Er: 0.5000 0.0000 0.0000  6 N 2.47
Th: 0.5000 0.5000 0.5000  6 N 2.47
N: 0.0000 0.0000 0.0000  6 Er 2.47
N: 0.0000 0.5000 0.5000  2 Th 2.47, 4 Er 2.47
N: 0.5000 0.0000 0.5000  2 Th 2.47, 4 Er 2.47
N: 0.5000 0.5000 0.0000  2 Th 2.47, 4 Er 2.47

---

# 11
First-principles (PBE-GGA) data for crystalline AlCrSb2 at its relaxed geometry, as listed in Alexandria.

Properties
Uncorrected formation energy   0.255 eV per atom
N(E_F)   0.430 states/eV/atom
Calculated volume   22.8 Å³/atom

Cell: 6.7215 6.7215 6.7215 Å, 147.92 145.41 47.89°
Closest atoms and distances in Å follow each position.
Atoms (fractional coordinates):
Al: 0.0000 0.0000 0.0000  2 Cr 2.62, 4 Sb 2.81
Cr: 0.6383 0.1383 0.5000  2 Al 2.62, 4 Sb 2.86
Sb: 0.2089 0.7089 0.5000  4 Cr 2.86, 2 Al 3.17
Sb: 0.4435 0.4435 0.0000  4 Al 2.81, 2 Cr 3.03

---

# 12
First-principles (PBE-GGA) data for crystalline La2Sb3Pt4Rh at its relaxed geometry, as listed in Alexandria.

Properties
Uncorrected formation energy   -0.788 eV per atom
N(E_F)   0.849 states/eV/atom
Calculated volume   22.2 Å³/atom

Cell: 4.4960 4.4960 10.9691 Å, 90.00 90.00 90.00°
Closest atoms and distances in Å follow each position.
Atoms (fractional coordinates):
La: 0.0000 0.5000 0.2430  8 Pt 3.39-3.61, 6 Sb 3.47-3.49, 2 Rh 3.49
La: 0.5000 0.0000 0.7570  8 Pt 3.39-3.61, 6 Sb 3.47-3.49, 2 Rh 3.49
Sb: 0.0000 0.0000 0.0000  4 Pt 2.69
Sb: 0.0000 0.5000 0.6308  5 Pt 2.57-2.67
Sb: 0.5000 0.0000 0.3692  5 Pt 2.57-2.67
Pt: 0.0000 0.0000 0.5000  4 Sb 2.67
Pt: 0.0000 0.5000 0.8651  3 Sb 2.57-2.69, 2 Rh 2.69
Pt: 0.5000 0.0000 0.1349  3 Sb 2.57-2.69, 2 Rh 2.69
Pt: 0.5000 0.5000 0.5000  4 Sb 2.67
Rh: 0.5000 0.5000 0.0000  4 Pt 2.69

---

- What is the formula in the second record?
  TaTi3Al

---

- Among the records above, which one has the highest calculated volume?
  PmPrDy14

---

Please write out number 7 again, unchanged.
First-principles (PBE-GGA) data for crystalline LiMgTa at its relaxed geometry, as listed in Alexandria.

Properties
Offset from the most stable computed form   605 meV/atom
Energy of formation from the pure elements   686 meV/atom
N(E_F)   1.096 states/eV/atom
Calculated volume   19.2 Å³/atom

Cell: 5.0393 5.0393 2.6221 Å, 90.00 90.00 120.00°
Closest atoms and distances in Å follow each position.
Atoms (fractional coordinates):
Li: 0.0000 0.0000 0.0000  2 Li 2.62
Mg: 0.3333 0.6667 0.5000  2 Mg 2.62, 3 Ta 2.91
Ta: 0.6667 0.3333 0.5000  2 Ta 2.62, 3 Mg 2.91